1.
Material: BaSc2P
Method: DFT, GGA-PBE
State: relaxed

a = 6.1967 Å, b = 6.1967 Å, c = 6.3678 Å
α = 119.24°, β = 119.24°, γ = 33.53°
Sites, in units of the cell vectors:
Ba 0.0000 0.0000 0.0000
Sc 0.1576 0.1576 0.6545
Sc 0.3567 0.3567 0.3595
P 0.7352 0.7352 0.4648

## Properties
magnetization	0.26	μB per formula unit
electronic total energy	-21.769	eV/cell
SG	Cm

***

2.
Material: TaTc2Pb
Method: DFT, GGA-PBE
State: relaxed

a = 5.9977 Å, b = 5.9977 Å, c = 5.9977 Å
α = 103.05°, β = 103.05°, γ = 123.26°
Sites, in units of the cell vectors:
Ta 0.0000 0.0000 0.0000
Ta 0.7500 0.2500 0.5000
Tc 0.0797 0.1250 0.4547
Tc 0.3750 0.9203 0.0453
Tc 0.6703 0.6250 0.5453
Tc 0.8750 0.3297 0.9547
Pb 0.2500 0.7500 0.5000
Pb 0.5000 0.5000 0.0000

## Properties
magnetization	1.02	μB per formula unit
electronic total energy	-65.338	eV/cell
SG	I-42d